Ac3Ga2Au3: relaxed, PBE-GGA.

Computed properties:
total energy = -4.26 eV/atom
formation energy = -0.731 eV per atom
crystal system = orthorhombic
SG = No. 63

a b c (Å): 4.6806 6.2395 16.0017
angles (deg): 90.00 90.00 112.03
Closest atoms and distances in Å follow each position.
Positions (direct):
Au  0.3905  0.7811  0.5487  2 Ga 2.68, 1 Au 2.97
Ac  0.8982  0.7964  0.0992  4 Ga 3.31-3.44, 7 Au 3.33-3.48
Ac  0.8982  0.7964  0.4008  4 Ga 3.31-3.44, 7 Au 3.33-3.48
Ac  0.3909  0.7819  0.7500  5 Au 3.22-3.39, 4 Ga 3.48
Au  0.3208  0.6415  0.2500  2 Ga 2.78
Ga  0.8042  0.6083  0.8985  3 Au 2.68-2.78
Ac  0.1018  0.2036  0.9008  4 Ga 3.31-3.44, 7 Au 3.33-3.48
Au  0.6095  0.2189  0.0487  2 Ga 2.68, 1 Au 2.97
Au  0.6792  0.3585  0.7500  2 Ga 2.78
Au  0.6095  0.2189  0.4513  2 Ga 2.68, 1 Au 2.97
Ga  0.1958  0.3917  0.1015  3 Au 2.68-2.78
Ac  0.1018  0.2036  0.5992  4 Ga 3.31-3.44, 7 Au 3.33-3.48
Ga  0.1958  0.3917  0.3985  3 Au 2.68-2.78
Au  0.3905  0.7811  0.9513  2 Ga 2.68, 1 Au 2.97
Ac  0.6091  0.2181  0.2500  5 Au 3.22-3.39, 4 Ga 3.48
Ga  0.8042  0.6083  0.6015  3 Au 2.68-2.78



W3CN: relaxed, PBE-GGA.

Computed properties:
total energy = -9.99 eV/atom
distance to the lowest polymorph of the same formula = 0.0 meV per atom
crystal system = cubic
formation energy (no corrections) = 1.290 eV/atom
SG = No. 221

a b c (Å): 4.0491 4.0491 4.0491
angles (deg): 90.00 90.00 90.00
Closest atoms and distances in Å follow each position.
Positions (direct):
C  0.5000  0.5000  0.5000  12 W 2.86
W  0.0000  0.5000  0.0000  2 N 2.02
N  0.0000  0.0000  0.0000  6 W 2.02
W  0.5000  0.0000  0.0000  2 N 2.02
W  0.0000  0.0000  0.5000  2 N 2.02



Tb3SnC: relaxed, PBE-GGA.

Computed properties:
total energy = -3.98 eV/atom
formation energy = 1.446 eV per atom
crystal system = cubic
SG = No. 221

a b c (Å): 5.6334 5.6334 5.6334
angles (deg): 90.00 90.00 90.00
Closest atoms and distances in Å follow each position.
Positions (direct):
Tb  0.5000  0.0000  0.5000  2 Sn 2.82
C  0.0000  0.0000  0.0000  12 Tb 3.98
Sn  0.5000  0.5000  0.5000  6 Tb 2.82
Tb  0.0000  0.5000  0.5000  2 Sn 2.82
Tb  0.5000  0.5000  0.0000  2 Sn 2.82



CsAs2Ir: relaxed, PBE-GGA.

Computed properties:
total energy = -3.94 eV/atom
distance to the lowest polymorph of the same formula = 1100.7 meV per atom
formation energy = 0.814 eV per atom
crystal system = cubic
SG = No. 225

a b c (Å): 4.9748 4.9748 4.9748
angles (deg): 60.00 60.00 60.00
Closest atoms and distances in Å follow each position.
Positions (direct):
Cs  0.0000  0.0000  0.0000  8 As 3.05
As  0.7500  0.7500  0.7500  4 Ir 3.05, 4 Cs 3.05
As  0.2500  0.2500  0.2500  4 Ir 3.05, 4 Cs 3.05
Ir  0.5000  0.5000  0.5000  8 As 3.05



Rb3PaCd2Te6: relaxed, PBE-GGA.

Computed properties:
total energy = -3.52 eV/atom
crystal system = monoclinic
formation energy (no corrections) = -0.768 eV/atom
SG = No. 12

a b c (Å): 7.7942 7.7942 8.9347
angles (deg): 98.26 98.26 120.29
Closest atoms and distances in Å follow each position.
Positions (direct):
Te  0.9339  0.6064  0.8049  1 Pa 3.05, 2 Cd 3.09-3.12
Te  0.0661  0.3936  0.1951  1 Pa 3.05, 2 Cd 3.09-3.12
Rb  0.1696  0.8304  0.5000  6 Te 3.66-3.69
Te  0.6064  0.9339  0.8049  1 Pa 3.05, 2 Cd 3.09-3.12
Te  0.2607  0.2607  0.8021  1 Pa 3.05, 2 Cd 3.11
Te  0.7393  0.7393  0.1979  1 Pa 3.05, 2 Cd 3.11
Rb  0.5000  0.5000  0.5000  6 Te 3.66-3.69
Rb  0.8304  0.1696  0.5000  6 Te 3.66-3.69
Te  0.3936  0.0661  0.1951  1 Pa 3.05, 2 Cd 3.09-3.12
Cd  0.6657  0.3343  0.0000  6 Te 3.09-3.12
Cd  0.3343  0.6657  0.0000  6 Te 3.09-3.12
Pa  0.0000  0.0000  0.0000  6 Te 3.05



LiY2Mg2: relaxed, PBE-GGA.

Computed properties:
total energy = -3.55 eV/atom
distance to the lowest polymorph of the same formula = 0.0 meV per atom
formation energy = 0.057 eV per atom
crystal system = tetragonal
SG = No. 127

a b c (Å): 7.2322 7.2322 5.1987
angles (deg): 90.00 90.00 90.00
Closest atoms and distances in Å follow each position.
Positions (direct):
Y  0.3314  0.1686  0.5000  6 Mg 3.26-3.43, 1 Y 3.45
Mg  0.3605  0.8605  0.0000  2 Li 2.80, 1 Mg 2.85
Y  0.1686  0.6686  0.5000  6 Mg 3.26-3.43, 1 Y 3.45
Y  0.8314  0.3314  0.5000  6 Mg 3.26-3.43, 1 Y 3.45
Mg  0.8605  0.6395  0.0000  2 Li 2.80, 1 Mg 2.85
Mg  0.6395  0.1395  0.0000  2 Li 2.80, 1 Mg 2.85
Mg  0.1395  0.3605  0.0000  2 Li 2.80, 1 Mg 2.85
Y  0.6686  0.8314  0.5000  6 Mg 3.26-3.43, 1 Y 3.45
Li  0.5000  0.5000  0.0000  4 Mg 2.80
Li  0.0000  0.0000  0.0000  4 Mg 2.80



Tb3SmNi4: relaxed, PBE-GGA.

Computed properties:
total energy = -5.64 eV/atom
formation energy = -0.421 eV per atom
crystal system = orthorhombic
SG = No. 25

a b c (Å): 3.7133 4.2873 10.2516
angles (deg): 90.00 90.00 90.00
Closest atoms and distances in Å follow each position.
Positions (direct):
Sm  0.5000  0.5000  0.3610  7 Ni 2.88-2.98
Ni  0.5000  0.5000  0.0706  2 Ni 2.61, 6 Tb 2.84-2.91
Tb  0.0000  0.5000  0.8606  7 Ni 2.84-2.91
Tb  0.5000  0.0000  0.6406  7 Ni 2.85-2.93
Ni  0.0000  0.0000  0.4293  2 Ni 2.62, 2 Tb 2.85, 4 Sm 2.92
Tb  0.0000  0.0000  0.1354  7 Ni 2.84-3.01
Ni  0.0000  0.5000  0.5763  2 Ni 2.62, 2 Sm 2.88, 5 Tb 2.91
Ni  0.5000  0.0000  0.9260  2 Ni 2.61, 6 Tb 2.84-2.91



In3TcHg: relaxed, PBE-GGA.

Computed properties:
total energy = -3.51 eV/atom
distance to the lowest polymorph of the same formula = 0.0 meV per atom
formation energy = 0.263 eV per atom
crystal system = cubic
SG = No. 221

a b c (Å): 5.2505 5.2505 5.2505
angles (deg): 90.00 90.00 90.00
Closest atoms and distances in Å follow each position.
Positions (direct):
Tc  0.0000  0.0000  0.0000  6 In 2.63
In  0.0000  0.5000  0.0000  2 Tc 2.63
Hg  0.5000  0.5000  0.5000  12 In 3.71
In  0.0000  0.0000  0.5000  2 Tc 2.63
In  0.5000  0.0000  0.0000  2 Tc 2.63



KPdCl3: relaxed, PBE-GGA.

Computed properties:
total energy = -3.44 eV/atom
crystal system = monoclinic
formation energy (no corrections) = -1.069 eV/atom
SG = No. 14

a b c (Å): 6.3753 8.2734 13.1800
angles (deg): 94.96 90.00 90.00
Closest atoms and distances in Å follow each position.
Positions (direct):
Cl  0.2758  0.5958  0.2525  1 Pd 2.31
Cl  0.4479  0.7951  0.8644  1 Pd 2.30
K  0.2887  0.9848  0.2756  6 Cl 3.12-3.35
K  0.7887  0.5152  0.2244  6 Cl 3.12-3.35
Pd  0.3231  0.4739  0.4021  4 Cl 2.30-2.35
Cl  0.7758  0.9042  0.2475  1 Pd 2.31
Cl  0.5521  0.2049  0.1356  1 Pd 2.30
Cl  0.9003  0.1531  0.9497  2 Pd 2.35
Cl  0.5997  0.6531  0.4497  2 Pd 2.35
Pd  0.6769  0.5261  0.5979  4 Cl 2.30-2.35
Cl  0.0521  0.2951  0.3644  1 Pd 2.30
K  0.7113  0.0152  0.7244  6 Cl 3.12-3.35
Cl  0.4003  0.3469  0.5503  2 Pd 2.35
Cl  0.7242  0.4042  0.7475  1 Pd 2.31
Pd  0.1769  0.9739  0.9021  4 Cl 2.30-2.35
Pd  0.8231  0.0261  0.0979  4 Cl 2.30-2.35
Cl  0.0997  0.8469  0.0503  2 Pd 2.35
Cl  0.9479  0.7049  0.6356  1 Pd 2.30
Cl  0.2242  0.0958  0.7525  1 Pd 2.31
K  0.2113  0.4848  0.7756  6 Cl 3.12-3.35



SmTm3Pt: relaxed, PBE-GGA.

Computed properties:
total energy = -5.23 eV/atom
distance to the lowest polymorph of the same formula = 130.5 meV per atom
formation energy = -0.393 eV per atom
crystal system = cubic
SG = No. 221

a b c (Å): 5.4142 5.4142 5.4142
angles (deg): 90.00 90.00 90.00
Closest atoms and distances in Å follow each position.
Positions (direct):
Tm  0.0000  0.5000  0.0000  2 Pt 2.71
Tm  0.0000  0.0000  0.5000  2 Pt 2.71
Sm  0.5000  0.5000  0.5000  12 Tm 3.83
Tm  0.5000  0.0000  0.0000  2 Pt 2.71
Pt  0.0000  0.0000  0.0000  6 Tm 2.71



HgIrW2: relaxed, PBE-GGA.

Computed properties:
total energy = -8.29 eV/atom
formation energy = 0.474 eV per atom
crystal system = tetragonal
SG = No. 99

a b c (Å): 3.2809 3.2809 6.3380
angles (deg): 90.00 90.00 90.00
Closest atoms and distances in Å follow each position.
Positions (direct):
Hg  0.0000  0.0000  0.5040  4 Ir 2.91, 6 W 2.92-3.25
W  0.5000  0.5000  0.2254  4 W 2.76, 1 Ir 2.82, 4 Hg 2.92
W  0.0000  0.0000  0.9907  4 Ir 2.68, 4 W 2.76
Ir  0.5000  0.5000  0.7799  5 W 2.68-2.82, 4 Hg 2.91



Hg2TeRu: relaxed, PBE-GGA.

Computed properties:
total energy = -2.68 eV/atom
crystal system = tetragonal
formation energy (no corrections) = 0.577 eV/atom
SG = No. 119

a b c (Å): 5.3013 5.3013 5.3013
angles (deg): 130.66 130.66 72.35
Closest atoms and distances in Å follow each position.
Positions (direct):
Hg  0.0000  0.0000  0.0000  4 Hg 3.08, 4 Te 3.08, 4 Ru 3.13
Hg  0.2500  0.7500  0.5000  4 Hg 3.08, 4 Ru 3.08, 4 Te 3.13
Ru  0.5000  0.5000  0.0000  4 Te 3.08, 8 Hg 3.08-3.13
Te  0.7500  0.2500  0.5000  8 Hg 3.08-3.13, 4 Ru 3.08



La2Nd6SmEr3: relaxed, PBE-GGA.

Computed properties:
total energy = -4.72 eV/atom
formation energy = 0.020 eV per atom
crystal system = monoclinic
SG = No. 12

a b c (Å): 6.3294 6.3294 12.0362
angles (deg): 95.03 95.03 120.04
Closest atoms and distances in Å follow each position.
Positions (direct):
La  0.6666  0.3334  0.0000  3 Sm 3.65-3.66, 3 La 3.65, 6 Nd 3.70
Nd  0.4185  0.0857  0.2561  3 Er 3.58, 6 Nd 3.65-3.66, 1 Sm 3.69, 2 La 3.70
Nd  0.0857  0.4185  0.2561  3 Er 3.58, 6 Nd 3.65-3.66, 1 Sm 3.69, 2 La 3.70
Er  0.5000  0.5000  0.5000  6 Nd 3.58, 6 Er 3.65-3.66
La  0.3334  0.6666  0.0000  3 Sm 3.65-3.66, 3 La 3.65, 6 Nd 3.70
Nd  0.9143  0.5815  0.7439  3 Er 3.58, 6 Nd 3.65-3.66, 1 Sm 3.69, 2 La 3.70
Nd  0.5815  0.9143  0.7439  3 Er 3.58, 6 Nd 3.65-3.66, 1 Sm 3.69, 2 La 3.70
Er  0.1665  0.8335  0.5000  6 Nd 3.57-3.58, 6 Er 3.65-3.66
Sm  0.0000  0.0000  0.0000  6 La 3.65-3.66, 6 Nd 3.69
Nd  0.2471  0.2471  0.7438  3 Er 3.57-3.58, 6 Nd 3.65-3.66, 1 Sm 3.69, 2 La 3.70
Nd  0.7529  0.7529  0.2562  3 Er 3.57-3.58, 6 Nd 3.65-3.66, 1 Sm 3.69, 2 La 3.70
Er  0.8335  0.1665  0.5000  6 Nd 3.57-3.58, 6 Er 3.65-3.66



Li3Y3TaS8: relaxed, PBE-GGA.

Computed properties:
total energy = -6.31 eV/atom
crystal system = trigonal
formation energy (no corrections) = -1.639 eV/atom
SG = No. 166

a b c (Å): 7.6650 7.6647 7.6116
angles (deg): 120.25 90.00 120.00
Closest atoms and distances in Å follow each position.
Positions (direct):
S  0.7732  0.0061  0.7389  1 Ta 2.52, 2 Li 2.67, 2 Y 2.74
S  0.7671  0.5342  0.2611  1 Ta 2.52, 2 Li 2.67, 2 Y 2.74
Li  0.5000  0.5000  0.0000  6 S 2.67-2.68
Y  0.5000  0.0000  0.5000  6 S 2.72-2.74
Y  0.5000  0.5000  0.5000  6 S 2.72-2.74
Ta  0.0000  0.0000  0.5000  6 S 2.52
S  0.2329  0.4658  0.7389  1 Ta 2.52, 2 Li 2.67, 2 Y 2.74
S  0.2329  0.0061  0.7389  1 Ta 2.52, 2 Li 2.67, 2 Y 2.74
S  0.7519  0.5038  0.7556  3 Li 2.68, 3 Y 2.72
S  0.2481  0.4962  0.2444  3 Li 2.68, 3 Y 2.72
Li  0.0000  0.0000  0.0000  6 S 2.67-2.68
S  0.7671  0.9939  0.2611  1 Ta 2.52, 2 Li 2.67, 2 Y 2.74
Li  0.0000  0.5000  0.0000  6 S 2.67-2.68
Y  0.0000  0.5000  0.5000  6 S 2.72-2.74
S  0.2268  0.9939  0.2611  1 Ta 2.52, 2 Li 2.67, 2 Y 2.74



AlRe2H: relaxed, PBE-GGA.

Computed properties:
total energy = -7.07 eV/atom
distance to the lowest polymorph of the same formula = 601.7 meV per atom
crystal system = cubic
SG = No. 225

a b c (Å): 4.1447 4.1447 4.1447
angles (deg): 60.00 60.00 60.00
Closest atoms and distances in Å follow each position.
Positions (direct):
Al  0.5000  0.5000  0.5000  8 Re 2.54
H  0.0000  0.0000  0.0000  8 Re 2.54
Re  0.7500  0.7500  0.7500  4 H 2.54, 4 Al 2.54
Re  0.2500  0.2500  0.2500  4 Al 2.54, 4 H 2.54



In2AgAu8: relaxed, PBE-GGA.

Computed properties:
total energy = -3.23 eV/atom
distance to the lowest polymorph of the same formula = 0.0 meV per atom
formation energy = -0.090 eV per atom
crystal system = orthorhombic
SG = No. 71

a b c (Å): 3.9849 8.7676 7.8137
angles (deg): 124.13 104.77 90.00
Closest atoms and distances in Å follow each position.
Positions (direct):
Au  0.3364  0.5838  0.6728  7 Au 2.83-2.98, 2 In 2.96, 1 Ag 2.99
Au  0.0000  0.2448  0.0000  6 Au 2.83-3.05, 2 In 2.85, 2 Ag 2.93
Au  0.8240  0.8240  0.6480  8 Au 2.93-3.05, 2 Ag 2.94, 2 In 2.98
Ag  0.5000  0.0000  0.0000  12 Au 2.93-2.99
Au  0.6636  0.9110  0.3273  7 Au 2.83-2.98, 2 In 2.96, 1 Ag 2.99
Au  0.1760  0.1760  0.3520  8 Au 2.93-3.05, 2 Ag 2.94, 2 In 2.98
Au  0.0000  0.7552  0.0000  6 Au 2.83-3.05, 2 In 2.85, 2 Ag 2.93
Au  0.3364  0.0890  0.6727  7 Au 2.83-2.98, 2 In 2.96, 1 Ag 2.99
Au  0.6636  0.4162  0.3272  7 Au 2.83-2.98, 2 In 2.96, 1 Ag 2.99
In  0.1439  0.6439  0.2879  8 Au 2.85-2.98
In  0.8561  0.3561  0.7121  8 Au 2.85-2.98



TcSb2Pb: relaxed, PBE-GGA.

Computed properties:
total energy = -5.32 eV/atom
crystal system = monoclinic
formation energy (no corrections) = 0.259 eV/atom
SG = No. 12

a b c (Å): 4.4670 4.4670 7.2486
angles (deg): 80.48 80.48 45.22
Closest atoms and distances in Å follow each position.
Positions (direct):
Sb  0.4816  0.4816  0.5690  3 Tc 2.72-2.77
Pb  0.2500  0.2500  0.2500  6 Sb 3.25-3.37, 2 Pb 3.43
Tc  0.7500  0.7500  0.7500  6 Sb 2.72-2.77
Sb  0.0184  0.0184  0.9310  3 Tc 2.72-2.77



BI3N: relaxed, PBE-GGA.

Computed properties:
total energy = -2.29 eV/atom
distance to the lowest polymorph of the same formula = 0.0 meV per atom
crystal system = cubic
formation energy (no corrections) = 1.639 eV/atom
SG = No. 221

a b c (Å): 5.1725 5.1725 5.1725
angles (deg): 90.00 90.00 90.00
Closest atoms and distances in Å follow each position.
Positions (direct):
N  0.5000  0.5000  0.5000  12 I 3.66
I  0.0000  0.0000  0.5000  2 B 2.59
I  0.5000  0.0000  0.0000  2 B 2.59
I  0.0000  0.5000  0.0000  2 B 2.59
B  0.0000  0.0000  0.0000  6 I 2.59



CaSb4Pd12: relaxed, PBE-GGA.

Computed properties:
total energy = -4.90 eV/atom
crystal system = cubic
formation energy (no corrections) = -0.147 eV/atom
SG = No. 204

a b c (Å): 7.7288 7.7288 7.7288
angles (deg): 109.47 109.47 109.47
Closest atoms and distances in Å follow each position.
Positions (direct):
Pd  0.3511  0.5046  0.1536  2 Sb 2.56, 2 Pd 2.66-2.74
Sb  0.5000  0.5000  0.5000  6 Pd 2.56
Pd  0.6489  0.4954  0.8464  2 Sb 2.56, 2 Pd 2.66-2.74
Pd  0.1975  0.8464  0.3511  2 Sb 2.56, 2 Pd 2.66-2.74
Pd  0.1536  0.6489  0.8025  2 Sb 2.56, 2 Pd 2.66-2.74
Sb  0.0000  0.5000  0.0000  6 Pd 2.56
Ca  0.0000  0.0000  0.0000  12 Pd 3.42
Sb  0.5000  0.0000  0.0000  6 Pd 2.56
Pd  0.4954  0.8464  0.6489  2 Sb 2.56, 2 Pd 2.66-2.74
Sb  0.0000  0.0000  0.5000  6 Pd 2.56
Pd  0.5046  0.1536  0.3511  2 Sb 2.56, 2 Pd 2.66-2.74
Pd  0.8464  0.6489  0.4954  2 Sb 2.56, 2 Pd 2.66-2.74
Pd  0.8464  0.3511  0.1975  2 Sb 2.56, 2 Pd 2.66-2.74
Pd  0.3511  0.1975  0.8464  2 Sb 2.56, 2 Pd 2.66-2.74
Pd  0.6489  0.8025  0.1536  2 Sb 2.56, 2 Pd 2.66-2.74
Pd  0.1536  0.3511  0.5046  2 Sb 2.56, 2 Pd 2.66-2.74
Pd  0.8025  0.1536  0.6489  2 Sb 2.56, 2 Pd 2.66-2.74



Sr3LiY2Se6: relaxed, PBE-GGA.

Computed properties:
total energy = -5.27 eV/atom
crystal system = monoclinic
formation energy (no corrections) = -1.870 eV/atom
SG = No. 12

a b c (Å): 7.3426 7.3426 7.3959
angles (deg): 99.52 99.52 119.98
Closest atoms and distances in Å follow each position.
Positions (direct):
Sr  0.5000  0.5000  0.5000  6 Se 3.10
Se  0.9238  0.5889  0.7718  2 Y 2.91, 1 Li 2.93, 3 Sr 3.10
Se  0.2590  0.2590  0.7733  2 Y 2.91, 1 Li 2.92, 3 Sr 3.09-3.10
Y  0.3330  0.6670  0.0000  6 Se 2.91
Sr  0.1652  0.8348  0.5000  6 Se 3.09-3.10
Se  0.5889  0.9238  0.7718  2 Y 2.91, 1 Li 2.93, 3 Sr 3.10
Y  0.6670  0.3330  0.0000  6 Se 2.91
Se  0.7410  0.7410  0.2267  2 Y 2.91, 1 Li 2.92, 3 Sr 3.09-3.10
Se  0.0762  0.4111  0.2282  2 Y 2.91, 1 Li 2.93, 3 Sr 3.10
Sr  0.8348  0.1652  0.5000  6 Se 3.09-3.10
Se  0.4111  0.0762  0.2282  2 Y 2.91, 1 Li 2.93, 3 Sr 3.10
Li  0.0000  0.0000  0.0000  6 Se 2.92-2.93